[1]
A geometry-optimized Er2RhS structure, computed with GGA-PBE.

Properties
Offset from the most stable computed form (meV per atom): 0.0
Raw formation energy (eV/f.u.): -5.0

Cell lengths 3.7340, 3.7340, 21.5932 Å; angles 90.00, 90.00, 120.00 degrees
Space group R3m (No. 160, hexagonal axes)
Symmetry-distinct sites (fractional):
1 Er 0.0000 0.0000 0.0000 (multiplicity 3)
2 Er 0.0000 0.0000 0.1670 (multiplicity 3)
3 Rh 0.0000 0.0000 0.4170 (multiplicity 3)
4 S 0.0000 0.0000 0.5844 (multiplicity 3)

***

[2]
A geometry-optimized TcAgBr2 structure, computed with GGA-PBE.

Properties
Offset from the most stable computed form (meV per atom): 310.4
Raw formation energy (eV/f.u.): 2.1

Cell lengths 3.532, 4.064, 6.308 Å; angles 90.00, 100.03, 90.00 degrees
Space group P2/m (No. 10)
Symmetry-distinct sites (fractional):
1 Tc 0.000 0.000 0.000 (multiplicity 1)
2 Ag 0.000 0.000 0.500 (multiplicity 1)
3 Br 0.280 0.500 0.231 (multiplicity 2)